No. 1
{
  "formula": "ScAsI2O",
  "functional": "GGA-PBEsol",
  "state": "relaxed",
  "e_form_raw_kj_per_mol_atoms": -25.3,
  "crystal_system": "tetragonal",
  "dft_energy_ev_per_atom": -4.36,
  "cell": [[5.738, 0.000, 0.000], [0.000, 5.738, 0.000], [0.000, 0.000, 3.760]],
  "species": ["Sc", "As", "I", "I", "O"],
  "fractional_positions": [[0.000, 0.000, 0.000], [0.500, 0.500, 0.500], [0.000, 0.500, 0.500], [0.500, 0.000, 0.500], [0.500, 0.500, 0.000]]
}


No. 2
{
  "formula": "Zr3TaRe",
  "functional": "GGA-PBEsol",
  "state": "relaxed",
  "crystal_system": "cubic",
  "dft_energy_ev_per_atom": -8.99,
  "cell": [[4.882, 0.000, 0.000], [0.000, 4.882, 0.000], [0.000, 0.000, 4.882]],
  "species": ["Zr", "Zr", "Zr", "Ta", "Re"],
  "fractional_positions": [[0.000, 0.000, 0.500], [0.000, 0.500, 0.000], [0.500, 0.000, 0.000], [0.000, 0.000, 0.000], [0.500, 0.500, 0.500]]
}


No. 3
{
  "formula": "Al2FeMo",
  "functional": "GGA-PBEsol",
  "state": "relaxed",
  "crystal_system": "tetragonal",
  "dft_energy_ev_per_atom": -7.45,
  "cell": [[2.816, 0.000, 0.000], [0.000, 2.816, 0.000], [0.000, 0.000, 6.586]],
  "species": ["Al", "Al", "Fe", "Mo"],
  "fractional_positions": [[0.000, 0.000, 0.206], [0.000, 0.000, 0.794], [0.500, 0.500, 0.000], [0.500, 0.500, 0.500]]
}


No. 4
{
  "formula": "K2NaCoC6N6",
  "functional": "GGA-PBEsol",
  "state": "relaxed",
  "e_form_raw_kj_per_mol_atoms": -12.8,
  "crystal_system": "monoclinic",
  "dft_energy_ev_per_atom": -7.66,
  "cell": [[7.004, 0.000, 0.000], [0.000, 7.467, 0.000], [-6.774, 0.000, 10.218]],
  "species": ["K", "K", "K", "K", "Na", "Na", "Co", "Co", "C", "C", "C", "C", "C", "C", "C", "C", "C", "C", "C", "C", "N", "N", "N", "N", "N", "N", "N", "N", "N", "N", "N", "N"],
  "fractional_positions": [[0.217, 0.078, 0.245], [0.217, 0.422, 0.745], [0.783, 0.578, 0.255], [0.783, 0.922, 0.755], [0.000, 0.000, 0.500], [0.000, 0.500, 0.000], [0.500, 0.000, 0.000], [0.500, 0.500, 0.500], [0.247, 0.131, 0.962], [0.247, 0.369, 0.462], [0.324, 0.706, 0.450], [0.324, 0.794, 0.950], [0.418, 0.029, 0.830], [0.418, 0.471, 0.330], [0.582, 0.529, 0.670], [0.582, 0.971, 0.170], [0.676, 0.206, 0.050], [0.676, 0.294, 0.550], [0.753, 0.631, 0.538], [0.753, 0.869, 0.038], [0.082, 0.212, 0.936], [0.082, 0.288, 0.436], [0.206, 0.667, 0.917], [0.206, 0.833, 0.417], [0.363, 0.050, 0.721], [0.363, 0.450, 0.221], [0.637, 0.550, 0.779], [0.637, 0.950, 0.279], [0.794, 0.167, 0.583], [0.794, 0.333, 0.083], [0.918, 0.712, 0.564], [0.918, 0.788, 0.064]]
}


No. 5
{
  "formula": "Li2Se3",
  "functional": "GGA-PBEsol",
  "state": "relaxed",
  "e_form_raw_kj_per_mol_atoms": -58.4,
  "crystal_system": "orthorhombic",
  "dft_energy_ev_per_atom": -3.70,
  "cell": [[0.000, 4.574, 7.143], [2.804, 0.000, 7.143], [2.804, 4.574, 0.000]],
  "species": ["Li", "Li", "Li", "Li", "Se", "Se", "Se", "Se", "Se", "Se"],
  "fractional_positions": [[0.083, 0.083, 0.667], [0.333, 0.333, 0.917], [0.667, 0.667, 0.083], [0.917, 0.917, 0.333], [0.000, 0.500, 0.500], [0.125, 0.125, 0.125], [0.500, 0.000, 0.500], [0.500, 0.500, 0.000], [0.500, 0.500, 0.500], [0.875, 0.875, 0.875]]
}


No. 6
{
  "formula": "Fe2CoAu",
  "functional": "GGA-PBEsol",
  "state": "relaxed",
  "crystal_system": "orthorhombic",
  "dft_energy_ev_per_atom": -7.27,
  "cell": [[2.684, 0.000, 0.000], [0.000, 3.481, 0.000], [0.000, 0.000, 5.371]],
  "species": ["Fe", "Fe", "Co", "Au"],
  "fractional_positions": [[0.000, 0.000, 0.214], [0.000, 0.000, 0.786], [0.500, 0.500, 0.000], [0.500, 0.500, 0.500]]
}